No. 1
The following is a DFT calculation (PBE) of a relaxed structure of Ce15ThAl4.

- D(E_F) (states/eV/cell) = 57.895
- E_form (eV/f.u.) = -2.3
- magnetic moment (μB per cell) = 10.19
- symmetry = P4/mmm (123)
- E_tot (eV per formula unit) = -113.7

a = 4.7037 Å, b = 4.7037 Å, c = 23.7066 Å
α = 90.00°, β = 90.00°, γ = 90.00°
Closest atoms and distances in Å follow each position.
Atoms (fractional coordinates):
Ce  0.0000  0.5000  0.1061  2 Al 3.30, 8 Ce 3.31-3.44, 2 Th 3.44
Al  0.0000  0.0000  0.4015  12 Ce 3.31-3.33
Ce  0.5000  0.5000  0.5982  8 Ce 3.31-3.32, 4 Al 3.33
Ce  0.5000  0.0000  0.5000  8 Ce 3.31-3.33, 4 Al 3.31
Ce  0.5000  0.0000  0.3031  4 Al 3.31-3.33, 8 Ce 3.32-3.33
Ce  0.0000  0.5000  0.8939  2 Al 3.30, 8 Ce 3.31-3.44, 2 Th 3.44
Ce  0.5000  0.0000  0.8939  2 Al 3.30, 8 Ce 3.31-3.44, 2 Th 3.44
Ce  0.5000  0.0000  0.6969  4 Al 3.31-3.33, 8 Ce 3.32-3.33
Ce  0.5000  0.0000  0.1061  2 Al 3.30, 8 Ce 3.31-3.44, 2 Th 3.44
Al  0.0000  0.0000  0.5985  12 Ce 3.31-3.33
Al  0.0000  0.0000  0.2038  12 Ce 3.30-3.33
Ce  0.5000  0.5000  0.7956  8 Ce 3.31-3.32, 4 Al 3.33
Ce  0.0000  0.5000  0.3031  4 Al 3.31-3.33, 8 Ce 3.32-3.33
Ce  0.5000  0.5000  0.4018  8 Ce 3.31-3.32, 4 Al 3.33
Al  0.0000  0.0000  0.7962  12 Ce 3.30-3.33
Th  0.0000  0.0000  0.0000  12 Ce 3.33-3.44
Ce  0.5000  0.5000  0.0000  4 Th 3.33, 8 Ce 3.44
Ce  0.5000  0.5000  0.2044  8 Ce 3.31-3.32, 4 Al 3.33
Ce  0.0000  0.5000  0.5000  8 Ce 3.31-3.33, 4 Al 3.31
Ce  0.0000  0.5000  0.6969  4 Al 3.31-3.33, 8 Ce 3.32-3.33

***

No. 2
The following is a DFT calculation (PBE) of a relaxed structure of CeThTiAl.

- D(E_F) (states/eV/cell) = 6.443
- E_form (eV/f.u.) = 0.1
- magnetic moment (μB per cell) = 2.38
- symmetry = F-43m (216)
- E_tot (eV per formula unit) = -24.8

a = 5.2063 Å, b = 5.2063 Å, c = 5.2063 Å
α = 60.00°, β = 60.00°, γ = 60.00°
Closest atoms and distances in Å follow each position.
Atoms (fractional coordinates):
Ti  0.5000  0.5000  0.5000  4 Th 3.19, 4 Ce 3.19
Al  0.0000  0.0000  0.0000  4 Ce 3.19, 4 Th 3.19
Ce  0.7500  0.7500  0.7500  4 Ti 3.19, 4 Al 3.19
Th  0.2500  0.2500  0.2500  4 Al 3.19, 4 Ti 3.19

***

No. 3
The following is a DFT calculation (PBE) of a relaxed structure of CeYThAl.

- D(E_F) (states/eV/cell) = 6.338
- E_form (eV/f.u.) = 0.1
- magnetic moment (μB per cell) = 0.00
- symmetry = F-43m (216)
- E_tot (eV per formula unit) = -23.5

a = 5.3539 Å, b = 5.3539 Å, c = 5.3539 Å
α = 60.00°, β = 60.00°, γ = 60.00°
Closest atoms and distances in Å follow each position.
Atoms (fractional coordinates):
Th  0.0000  0.0000  0.0000  4 Ce 3.28, 4 Al 3.28
Al  0.7500  0.7500  0.7500  4 Th 3.28, 4 Y 3.28
Y  0.5000  0.5000  0.5000  4 Ce 3.28, 4 Al 3.28
Ce  0.2500  0.2500  0.2500  4 Th 3.28, 4 Y 3.28

***

No. 4
The following is a DFT calculation (PBE) of a relaxed structure of Ce2Th2Al4Zn.

- D(E_F) (states/eV/cell) = 11.746
- E_form (eV/f.u.) = -0.6
- magnetic moment (μB per cell) = 0.00
- symmetry = I4/mmm (139)
- E_tot (eV per formula unit) = -43.6

a = 6.8179 Å, b = 6.8179 Å, c = 6.8179 Å
α = 84.32°, β = 123.33°, γ = 123.33°
Closest atoms and distances in Å follow each position.
Atoms (fractional coordinates):
Th  0.5000  0.2500  0.7500  4 Ce 3.25, 8 Al 3.42
Al  0.0000  0.7263  0.2737  1 Zn 2.51
Al  0.4526  0.7263  0.7263  1 Zn 2.51
Al  0.5474  0.2737  0.2737  1 Zn 2.51
Zn  0.0000  0.0000  0.0000  4 Al 2.51, 2 Ce 2.77
Al  0.0000  0.2737  0.7263  1 Zn 2.51
Ce  0.0000  0.7257  0.7257  1 Zn 2.77, 4 Al 3.08
Th  0.5000  0.7500  0.2500  4 Ce 3.25, 8 Al 3.42
Ce  0.0000  0.2743  0.2743  1 Zn 2.77, 4 Al 3.08

***

- magnetic moment of number 3 (CeYThAl)?
  0.00 μB per cell